# 1
The following is a PBE calculation of crystalline Tm4In3Au at its relaxed geometry, from the Alexandria database.

abc: 3.5078 3.5078 16.2002
angles: 90.00 90.00 90.00
Sites, in units of the cell vectors:
Tm (0.0000, 0.0000, 0.8905)
Tm (0.0000, 0.0000, 0.1095)
Tm (0.0000, 0.0000, 0.3699)
Tm (0.0000, 0.0000, 0.6301)
Au (0.5000, 0.5000, 0.0000)
In (0.5000, 0.5000, 0.2401)
In (0.5000, 0.5000, 0.5000)
In (0.5000, 0.5000, 0.7599)

Output
* energy relative to the elements: -549.1 meV per atom



# 2
The following is a PBE calculation of crystalline Ba2Hg3RuO6 at its relaxed geometry, from the Alexandria database.

abc: 6.5066 6.5066 6.7228
angles: 100.89 100.89 122.41
Sites, in units of the cell vectors:
Ba (0.3302, 0.6698, 0.0000)
Ba (0.6698, 0.3302, 0.0000)
Hg (0.1470, 0.8530, 0.5000)
Hg (0.8530, 0.1470, 0.5000)
Hg (0.5000, 0.5000, 0.5000)
Ru (0.0000, 0.0000, 0.0000)
O (0.9159, 0.6766, 0.8094)
O (0.8102, 0.8102, 0.1698)
O (0.0841, 0.3234, 0.1906)
O (0.6766, 0.9159, 0.8094)
O (0.1898, 0.1898, 0.8302)
O (0.3234, 0.0841, 0.1906)

Output
* formation energy from raw total energies: -1.146 eV per atom



# 3
The following is a PBE calculation of crystalline La2AlGa6Au at its relaxed geometry, from the Alexandria database.

abc: 6.5395 6.5395 12.5792
angles: 74.93 74.93 60.00
Sites, in units of the cell vectors:
La (0.8894, 0.8894, 0.3319)
La (0.1106, 0.1106, 0.6681)
La (0.7109, 0.7109, 0.8674)
La (0.2891, 0.2891, 0.1326)
Al (0.0000, 0.0000, 0.0000)
Al (0.5000, 0.5000, 0.5000)
Ga (0.9438, 0.3305, 0.3952)
Ga (0.3305, 0.9438, 0.3952)
Ga (0.3305, 0.3305, 0.3952)
Ga (0.0562, 0.6695, 0.6048)
Ga (0.6695, 0.0562, 0.6048)
Ga (0.6695, 0.6695, 0.6048)
Ga (0.6506, 0.2303, 0.8888)
Ga (0.2303, 0.6506, 0.8888)
Ga (0.2303, 0.2303, 0.8888)
Ga (0.3494, 0.7697, 0.1112)
Ga (0.7697, 0.3494, 0.1112)
Ga (0.7697, 0.7697, 0.1112)
Au (0.5705, 0.5705, 0.2884)
Au (0.4295, 0.4295, 0.7116)

Output
* energy relative to the elements: -340.6 meV per atom



# 4
The following is a PBE calculation of crystalline MgCo2Sb at its relaxed geometry, from the Alexandria database.

abc: 3.0947 3.0947 7.1281
angles: 90.00 90.00 90.00
Sites, in units of the cell vectors:
Co (0.0000, 0.0000, 0.0458)
Co (0.5000, 0.5000, 0.2048)
Mg (0.0000, 0.0000, 0.4324)
Sb (0.5000, 0.5000, 0.8170)

Output
* formation energy from raw total energies: 0.134 eV per atom



# 5
The following is a PBE calculation of crystalline Be3CoAg at its relaxed geometry, from the Alexandria database.

abc: 3.9564 3.9564 3.9564
angles: 90.00 90.00 90.00
Sites, in units of the cell vectors:
Be (0.0000, 0.5000, 0.0000)
Be (0.0000, 0.0000, 0.5000)
Be (0.5000, 0.0000, 0.0000)
Co (0.0000, 0.0000, 0.0000)
Ag (0.5000, 0.5000, 0.5000)

Output
* energy relative to the elements: 489.7 meV per atom
* energy above the most stable polymorph in this dataset: 0 meV/atom



# 6
The following is a PBE calculation of crystalline RbNa2UTe4 at its relaxed geometry, from the Alexandria database.

abc: 8.4361 7.5496 7.5496
angles: 67.97 56.03 56.03
Sites, in units of the cell vectors:
Rb (0.0000, 0.0000, 0.0000)
Na (0.2494, 0.2506, 0.2506)
Na (0.7506, 0.7494, 0.7494)
U (0.5000, 0.5000, 0.5000)
Te (0.4442, 0.1365, 0.5560)
Te (0.1367, 0.8635, 0.4440)
Te (0.8633, 0.5560, 0.1365)
Te (0.5558, 0.4440, 0.8635)

Output
* formation energy from raw total energies: -0.629 eV per atom



# 7
The following is a PBE calculation of crystalline Sm2Er2Ru3 at its relaxed geometry, from the Alexandria database.

abc: 4.8385 4.8445 8.2693
angles: 90.01 107.02 119.98
Sites, in units of the cell vectors:
Sm (0.2476, 0.1239, 0.3730)
Sm (0.7524, 0.8761, 0.6270)
Er (0.7477, 0.3738, 0.1219)
Er (0.2523, 0.6262, 0.8781)
Ru (0.0000, 0.0000, 0.0000)
Ru (0.5068, 0.2536, 0.7590)
Ru (0.4932, 0.7464, 0.2410)

Output
* energy relative to the elements: -257.0 meV per atom